<i>
Below is a relaxed structure of AlB2Ru2, with properties calculated at the PBE level.

Geometry as POSCAR:
```
AlB2Ru2
1.0
6.083 0.000 0.000
0.000 6.083 0.000
0.000 0.000 2.821
Ru B Al
4 4 2
Cartesian
1.015 4.056 1.410
4.056 5.068 1.410
5.068 2.026 1.410
2.026 1.015 1.410
2.315 5.356 0.000
5.356 3.768 0.000
3.768 0.727 0.000
0.727 2.315 0.000
0.000 0.000 0.000
3.041 3.041 0.000
```

- V: 104 Å³/cell
- Space-group type: P4/mbm

---

<ii>
Below is a relaxed structure of AlB2Ru2, with properties calculated at the PBE level.

Geometry as POSCAR:
```
AlB2Ru2
1.0
2.905 0.000 0.000
0.000 2.905 0.000
1.452 1.452 6.463
Ru B Al
2 2 1
Cartesian
1.452 1.452 1.592
2.905 2.905 4.872
2.905 1.452 3.232
1.452 2.905 3.232
0.000 0.000 0.000
```

- V: 55 Å³/cell
- Space-group type: I4/mmm

---

Which one is most stable, and which one is least stable? <ii> is the most stable of them, while <i> is the least stable.